No. 1
## YThNp (PBE-GGA)

Data for a geometry-optimized YThNp structure.

Calculated values
DFT formation energy, meV per atom: 213.2

Cell: 8.7354 8.7354 5.7687 Å, 99.33 99.33 23.17°
Atoms (fractional coordinates):
Y 0.0611 0.0611 0.2804
Y 0.9389 0.9389 0.7196
Th 0.3682 0.3682 0.1884
Th 0.6318 0.6318 0.8116
Np 0.2649 0.2649 0.6407
Np 0.7351 0.7351 0.3593

No. 2
## ThNpZn (PBE-GGA)

Data for a geometry-optimized ThNpZn structure.

Calculated values
DFT formation energy, meV per atom: 223.2

Cell: 9.3163 9.3163 3.6694 Å, 90.00 90.00 153.11°
Atoms (fractional coordinates):
Th 0.1162 0.8838 0.7500
Th 0.8838 0.1162 0.2500
Np 0.4588 0.5412 0.7500
Np 0.5412 0.4588 0.2500
Zn 0.2918 0.7082 0.7500
Zn 0.7082 0.2918 0.2500

No. 3
## ThZrNp (PBE-GGA)

Data for a geometry-optimized ThZrNp structure.

Calculated values
DFT formation energy, meV per atom: 815.0

Cell: 7.5431 7.5431 6.1679 Å, 90.00 90.00 90.00°
Atoms (fractional coordinates):
Th 0.2494 0.2494 0.0000
Th 0.2506 0.7494 0.2500
Th 0.7494 0.2506 0.7500
Th 0.7506 0.7506 0.5000
Zr 0.2183 0.2183 0.5000
Zr 0.2817 0.7183 0.7500
Zr 0.7183 0.2817 0.2500
Zr 0.7817 0.7817 0.0000
Np 0.0158 0.9842 0.7500
Np 0.4842 0.4842 0.5000
Np 0.5158 0.5158 0.0000
Np 0.9842 0.0158 0.2500

No. 4
## NpTi4 (PBE-GGA)

Data for a geometry-optimized NpTi4 structure.

Calculated values
DFT formation energy, meV per atom: 727.1

Cell: 4.5965 4.5965 4.5965 Å, 90.00 90.00 90.00°
Atoms (fractional coordinates):
Np 0.0000 0.0000 0.0000
Ti 0.0000 0.0000 0.5000
Ti 0.0000 0.5000 0.0000
Ti 0.5000 0.0000 0.0000
Ti 0.5000 0.5000 0.5000

No. 5
## NpTi2 (PBE-GGA)

Data for a geometry-optimized NpTi2 structure.

Calculated values
DFT formation energy, meV per atom: 326.7

Cell: 5.4868 5.4868 5.4868 Å, 145.00 145.00 50.34°
Atoms (fractional coordinates):
Np 0.0000 0.0000 0.0000
Ti 0.3384 0.3384 0.0000
Ti 0.6616 0.6616 0.0000

No. 6
## NpTiV (PBE-GGA)

Data for a geometry-optimized NpTiV structure.

Calculated values
Polymorph energy (0 for the lowest one), kJ per mole of atoms: 26.55
DFT formation energy, meV per atom: 536.2

Cell: 7.5216 7.5216 7.5216 Å, 160.27 160.27 28.05°
Atoms (fractional coordinates):
Np 0.0000 0.0000 0.0000
Ti 0.1790 0.1790 0.0000
V 0.8264 0.8264 0.0000

No. 7
## NpTiV2 (PBE-GGA)

Data for a geometry-optimized NpTiV2 structure.

Calculated values
Polymorph energy (0 for the lowest one), kJ per mole of atoms: 0.40
DFT formation energy, meV per atom: 248.1

Cell: 4.4832 4.4832 3.1551 Å, 90.00 90.00 90.00°
Atoms (fractional coordinates):
Np 0.0000 0.0000 0.0000
Ti 0.5000 0.5000 0.0000
V 0.0000 0.5000 0.5000
V 0.5000 0.0000 0.5000

No. 8
## NpTiV (PBE-GGA)

Data for a geometry-optimized NpTiV structure.

Calculated values
Polymorph energy (0 for the lowest one), kJ per mole of atoms: 0.00
DFT formation energy, meV per atom: 261.0

Cell: 5.2978 5.2978 5.4430 Å, 120.41 120.41 51.47°
Atoms (fractional coordinates):
Np 0.0000 0.0000 0.0000
Np 0.0000 0.0000 0.5000
Ti 0.3383 0.3383 0.6736
Ti 0.6617 0.6617 0.3264
V 0.3231 0.3231 0.1595
V 0.6769 0.6769 0.8405